(1)
{"formula": "Fe2OsAu", "functional": "GGA-PBE", "state": "relaxed", "delta_e_f_ev_per_atom": 0.289, "rho_g_cm3": 14.72, "total_magnetization_mub_per_atom": 1.2953, "lattice": [[3.148, 0.000, 0.000], [0.000, 3.148, 0.000], [0.000, 0.000, 5.678]], "species": ["Fe", "Fe", "Os", "Au"], "frac_coords": [[0.000, 0.000, 0.220], [0.000, 0.000, 0.780], [0.500, 0.500, 0.000], [0.500, 0.500, 0.500]]}



(2)
{"formula": "P3Ir2Au", "functional": "GGA-PBE", "state": "relaxed", "delta_e_f_ev_per_atom": -0.148, "rho_g_cm3": 10.58, "total_magnetization_mub_per_atom": 0.0000, "lattice": [[3.730, 0.000, 0.000], [1.312, 4.704, 0.000], [0.762, 1.033, 6.032]], "species": ["P", "P", "P", "Ir", "Ir", "Au"], "frac_coords": [[0.000, 0.000, 0.000], [0.153, 0.568, 0.903], [0.844, 0.229, 0.415], [0.403, 0.174, 0.177], [0.739, 0.396, 0.750], [0.165, 0.704, 0.436]]}



(3)
{"formula": "LiCuMo2", "functional": "GGA-PBE", "state": "relaxed", "delta_e_f_ev_per_atom": 0.350, "rho_g_cm3": 7.42, "total_magnetization_mub_per_atom": 0.0000, "lattice": [[2.568, 0.000, 0.000], [0.000, 2.568, 0.000], [0.000, 0.000, 8.908]], "species": ["Li", "Cu", "Mo", "Mo"], "frac_coords": [[0.000, 0.000, 0.000], [0.000, 0.000, 0.500], [0.500, 0.500, 0.264], [0.500, 0.500, 0.736]]}



(4)
{"formula": "Er2TmGa", "functional": "GGA-PBE", "state": "relaxed", "delta_e_f_ev_per_atom": -0.279, "rho_g_cm3": 8.93, "total_magnetization_mub_per_atom": 0.0001, "lattice": [[3.479, 0.000, 0.000], [0.000, 3.479, 0.000], [0.000, 0.000, 8.810]], "species": ["Er", "Er", "Tm", "Ga"], "frac_coords": [[0.000, 0.000, 0.211], [0.000, 0.000, 0.789], [0.500, 0.500, 0.500], [0.500, 0.500, 0.000]]}



(5)
{"formula": "LaDy2Er", "functional": "GGA-PBE", "state": "relaxed", "delta_e_f_ev_per_atom": 0.024, "rho_g_cm3": 8.06, "total_magnetization_mub_per_atom": 0.0000, "lattice": [[1.793, 1.035, 11.679], [-1.793, 1.035, 11.679], [0.000, -2.070, 11.679]], "species": ["La", "Dy", "Dy", "Er"], "frac_coords": [[0.000, 0.000, 0.000], [0.248, 0.248, 0.248], [0.752, 0.752, 0.752], [0.500, 0.500, 0.500]]}



(6)
{"formula": "CeCoH6Rh", "functional": "GGA-PBE", "state": "relaxed", "rho_g_cm3": 6.76, "total_magnetization_mub_per_atom": 0.0760, "energy_ev_per_cell": -43.44, "lattice": [[4.551, 0.000, 0.000], [-2.276, 3.942, 0.000], [0.000, 0.000, 4.215]], "species": ["Ce", "Co", "H", "H", "H", "H", "H", "H", "Rh"], "frac_coords": [[0.000, 0.000, 0.000], [0.667, 0.333, 0.500], [0.509, 0.018, 0.239], [0.509, 0.018, 0.761], [0.509, 0.491, 0.239], [0.509, 0.491, 0.761], [0.982, 0.491, 0.239], [0.982, 0.491, 0.761], [0.333, 0.667, 0.500]]}



(7)
{"formula": "La2ScMnSe5", "functional": "GGA-PBE", "state": "relaxed", "raw_formation_energy_ev_per_atom": -1.610, "rho_g_cm3": 5.80, "total_magnetization_mub_per_atom": 0.4735, "lattice": [[2.053, -8.782, 0.000], [2.053, 8.782, 0.000], [0.000, 0.000, 12.270]], "species": ["La", "La", "La", "La", "Sc", "Sc", "Mn", "Mn", "Se", "Se", "Se", "Se", "Se", "Se", "Se", "Se", "Se", "Se"], "frac_coords": [[0.116, 0.884, 0.500], [0.128, 0.872, 0.121], [0.872, 0.128, 0.621], [0.884, 0.116, 0.000], [0.197, 0.803, 0.822], [0.803, 0.197, 0.322], [0.437, 0.563, 0.260], [0.563, 0.437, 0.760], [0.048, 0.952, 0.870], [0.290, 0.710, 0.474], [0.307, 0.693, 0.168], [0.354, 0.646, 0.813], [0.498, 0.502, 0.583], [0.502, 0.498, 0.083], [0.646, 0.354, 0.313], [0.693, 0.307, 0.668], [0.710, 0.290, 0.974], [0.952, 0.048, 0.370]]}



(8)
{"formula": "LiPr2Ir2", "functional": "GGA-PBE", "state": "relaxed", "delta_e_f_ev_per_atom": -0.497, "rho_g_cm3": 10.06, "total_magnetization_mub_per_atom": 0.0000, "lattice": [[5.084, -2.787, 0.000], [5.084, 2.787, 0.000], [-2.376, 0.000, 7.841]], "species": ["Li", "Li", "Pr", "Pr", "Pr", "Pr", "Ir", "Ir", "Ir", "Ir"], "frac_coords": [[0.126, 0.874, 0.750], [0.874, 0.126, 0.250], [0.198, 0.510, 0.352], [0.490, 0.802, 0.148], [0.510, 0.198, 0.852], [0.802, 0.490, 0.648], [0.014, 0.714, 0.988], [0.286, 0.986, 0.512], [0.714, 0.014, 0.488], [0.986, 0.286, 0.012]]}



(9)
{"formula": "AlTe2Se", "functional": "GGA-PBE", "state": "relaxed", "raw_formation_energy_ev_per_atom": -0.167, "rho_g_cm3": 5.45, "total_magnetization_mub_per_atom": 0.0000, "lattice": [[1.921, 1.109, 8.602], [-1.921, 1.109, 8.602], [0.000, -2.218, 8.602]], "species": ["Al", "Te", "Te", "Se"], "frac_coords": [[0.000, 0.000, 0.000], [0.491, 0.491, 0.491], [0.742, 0.742, 0.742], [0.286, 0.286, 0.286]]}



(10)
{"formula": "NdSm12Th5", "functional": "GGA-PBE", "state": "relaxed", "delta_e_f_ev_per_atom": 0.059, "rho_g_cm3": 8.58, "total_magnetization_mub_per_atom": 0.0000, "lattice": [[9.376, -5.410, 0.000], [9.376, 5.410, 0.000], [-2.043, 0.000, 5.930]], "species": ["Nd", "Sm", "Sm", "Sm", "Sm", "Sm", "Sm", "Sm", "Sm", "Sm", "Sm", "Sm", "Sm", "Th", "Th", "Th", "Th", "Th"], "frac_coords": [[0.000, 0.000, 0.000], [0.004, 0.333, 0.336], [0.165, 0.835, 0.500], [0.170, 0.497, 0.167], [0.333, 0.004, 0.336], [0.340, 0.660, 0.000], [0.497, 0.170, 0.167], [0.503, 0.830, 0.833], [0.660, 0.340, 0.000], [0.667, 0.996, 0.664], [0.830, 0.503, 0.833], [0.835, 0.165, 0.500], [0.996, 0.667, 0.664], [0.169, 0.169, 0.828], [0.334, 0.334, 0.668], [0.500, 0.500, 0.500], [0.666, 0.666, 0.332], [0.831, 0.831, 0.172]]}



(11)
{"formula": "GeTeAs2", "functional": "GGA-PBE", "state": "relaxed", "raw_formation_energy_ev_per_atom": 0.432, "rho_g_cm3": 6.70, "total_magnetization_mub_per_atom": 0.0000, "lattice": [[0.000, 3.513, 3.513], [3.513, 0.000, 3.513], [3.513, 3.513, 0.000]], "species": ["Ge", "Te", "As", "As"], "frac_coords": [[0.000, 0.000, 0.000], [0.500, 0.500, 0.500], [0.250, 0.250, 0.250], [0.750, 0.750, 0.750]]}



(12)
{"formula": "ReTe2NO", "functional": "GGA-PBE", "state": "relaxed", "raw_formation_energy_ev_per_atom": 1.475, "rho_g_cm3": 9.86, "total_magnetization_mub_per_atom": 0.1489, "lattice": [[4.733, 0.000, 0.000], [0.000, 4.733, 0.000], [0.000, 0.000, 3.543]], "species": ["Re", "Te", "Te", "N", "O"], "frac_coords": [[0.000, 0.000, 0.000], [0.000, 0.500, 0.500], [0.500, 0.000, 0.500], [0.500, 0.500, 0.000], [0.500, 0.500, 0.500]]}